No. 1
# Zr2SbSeF PBE-GGA relaxed
data_Zr2SbSeF
_chemical_formula_sum 'Zr2 Sb1 Se1 F1'
_cell_length_a 5.027
_cell_length_b 5.027
_cell_length_c 5.391
_cell_angle_alpha 90.00
_cell_angle_beta 90.00
_cell_angle_gamma 90.00
_space_group_name_H-M_alt 'P 4/m m m'
_space_group_IT_number 123
_space_group_name_Hall '-P 4 2'
loop_
_atom_site_label
_atom_site_type_symbol
_atom_site_fract_x
_atom_site_fract_y
_atom_site_fract_z
_atom_site_occupancy
Zr1 Zr 0.000 0.500 0.000 1
Sb1 Sb 0.000 0.000 0.500 1
Se1 Se 0.000 0.000 0.000 1
F1 F 0.500 0.500 0.500 1
# magnetic moment: 0.000 μB per formula unit
# crystal system: tetragonal
# uncorrected formation energy: 0.091 eV per atom
# energy: -5.2237 eV/atom



No. 2
# TaNb2C2 PBE-GGA relaxed
data_TaNb2C2
_chemical_formula_sum 'Ta2 Nb4 C4'
_cell_length_a 3.126
_cell_length_b 4.513
_cell_length_c 9.392
_cell_angle_alpha 90.00
_cell_angle_beta 90.00
_cell_angle_gamma 90.00
_space_group_name_H-M_alt 'I m m m'
_space_group_IT_number 71
_space_group_name_Hall '-I 2 2'
loop_
_atom_site_label
_atom_site_type_symbol
_atom_site_fract_x
_atom_site_fract_y
_atom_site_fract_z
_atom_site_occupancy
Ta1 Ta 0.000 0.000 0.000 1
Nb1 Nb 0.000 0.000 0.324 1
C1 C 0.000 0.500 0.334 1
# polymorph energy (0 for the lowest one): 0.18 kcal/mol of atoms
# magnetic moment: 0.000 μB per formula unit
# crystal system: orthorhombic
# energy: -10.6263 eV/atom
# energy of formation from the pure elements: -0.54 eV/atom



No. 3
# Rb2SrCeTe4 PBE-GGA relaxed
data_Rb2SrCeTe4
_chemical_formula_sum 'Rb2 Sr1 Ce1 Te4'
_cell_length_a 8.196
_cell_length_b 4.745
_cell_length_c 8.920
_cell_angle_alpha 90.00
_cell_angle_beta 107.68
_cell_angle_gamma 90.00
_space_group_name_H-M_alt 'P 1 2/m 1'
_space_group_IT_number 10
_space_group_name_Hall '-P 2y'
loop_
_atom_site_label
_atom_site_type_symbol
_atom_site_fract_x
_atom_site_fract_y
_atom_site_fract_z
_atom_site_occupancy
Rb1 Rb 0.000 0.000 0.000 1
Rb2 Rb 0.500 0.500 0.000 1
Sr1 Sr 0.000 0.500 0.500 1
Ce1 Ce 0.500 0.000 0.500 1
Te1 Te 0.258 0.000 0.706 1
Te2 Te 0.285 0.500 0.300 1
# magnetic moment: 0.119 μB per formula unit
# crystal system: monoclinic
# uncorrected formation energy: -1.330 eV per atom
# energy: -4.0948 eV/atom



No. 4
# CsCa2AsCl8 PBE-GGA relaxed
data_CsCa2AsCl8
_chemical_formula_sum 'Cs1 Ca2 As1 Cl8'
_cell_length_a 6.392
_cell_length_b 6.530
_cell_length_c 8.889
_cell_angle_alpha 89.85
_cell_angle_beta 89.78
_cell_angle_gamma 88.63
_space_group_name_H-M_alt 'P -1'
_space_group_IT_number 2
_space_group_name_Hall '-P 1'
loop_
_atom_site_label
_atom_site_type_symbol
_atom_site_fract_x
_atom_site_fract_y
_atom_site_fract_z
_atom_site_occupancy
Cs1 Cs 0.000 0.000 0.000 1
Ca1 Ca 0.499 0.500 0.251 1
As1 As 0.000 0.000 0.500 1
Cl1 Cl 0.235 0.835 0.693 1
Cl2 Cl 0.237 0.837 0.307 1
Cl3 Cl 0.250 0.315 0.500 1
Cl4 Cl 0.269 0.414 0.001 1
# magnetic moment: 0.000 μB per formula unit
# crystal system: triclinic
# uncorrected formation energy: -1.658 eV per atom
# energy: -3.6813 eV/atom



No. 5
# TbHgB PBE-GGA relaxed
data_TbHgB
_chemical_formula_sum 'Tb4 Hg4 B4'
_cell_length_a 9.327
_cell_length_b 3.832
_cell_length_c 6.924
_cell_angle_alpha 90.00
_cell_angle_beta 101.00
_cell_angle_gamma 90.00
_space_group_name_H-M_alt 'C 1 2/m 1'
_space_group_IT_number 12
_space_group_name_Hall '-C 2y'
loop_
_atom_site_label
_atom_site_type_symbol
_atom_site_fract_x
_atom_site_fract_y
_atom_site_fract_z
_atom_site_occupancy
Tb1 Tb 0.121 0.000 0.323 1
Hg1 Hg 0.132 0.500 0.916 1
B1 B 0.080 0.500 0.564 1
# magnetic moment: 0.000 μB per formula unit
# crystal system: monoclinic
# energy: -4.0916 eV/atom
# energy of formation from the pure elements: -0.22 eV/atom



No. 6
# SeBr2NCl PBE-GGA relaxed
data_SeBr2NCl
_chemical_formula_sum 'Se1 Br2 N1 Cl1'
_cell_length_a 5.293
_cell_length_b 5.293
_cell_length_c 5.026
_cell_angle_alpha 90.00
_cell_angle_beta 90.00
_cell_angle_gamma 90.00
_space_group_name_H-M_alt 'P 4/m m m'
_space_group_IT_number 123
_space_group_name_Hall '-P 4 2'
loop_
_atom_site_label
_atom_site_type_symbol
_atom_site_fract_x
_atom_site_fract_y
_atom_site_fract_z
_atom_site_occupancy
Se1 Se 0.000 0.000 0.000 1
Br1 Br 0.000 0.500 0.000 1
N1 N 0.500 0.500 0.500 1
Cl1 Cl 0.000 0.000 0.500 1
# polymorph energy (0 for the lowest one): 0.00 kcal/mol of atoms
# magnetic moment: 2.948 μB per formula unit
# crystal system: tetragonal
# uncorrected formation energy: 0.998 eV per atom
# energy: -2.4027 eV/atom